AlCuAg: optimized geometry, PBE-GGA.

Output
ΔH_f (0 K)	0.3	eV per formula unit
space group	F-43m (216)
spin magnetization	0.000	μB per cell

```
AlCuAg
1.0
-1.046 3.502 -2.066
-1.252 -0.218 -4.002
-4.014 0.736 -0.987
Cu Al Ag
1 1 1
direct
0.750 0.750 0.750
0.500 0.500 0.500
0.000 0.000 0.000
```

=====

AlCu2Ag: optimized geometry, PBE-GGA.

Output
ΔH_f (0 K)	0.2	eV per formula unit
space group	R3m (160)
spin magnetization	0.000	μB per cell

```
AlCu2Ag
1.0
8.579 -0.028 -0.017
8.124 2.756 -0.017
8.124 1.327 2.416
Al Ag Cu
1 1 2
direct
0.744 0.744 0.744
0.501 0.501 0.501
0.999 0.999 0.999
0.256 0.256 0.256
```

=====

Al3Cu2Ag: optimized geometry, PBE-GGA.

Output
ΔH_f (0 K)	-0.3	eV per formula unit
space group	Cmmm (65)
spin magnetization	0.000	μB per cell

```
Al3Cu2Ag
1.0
-1.958 -0.430 -2.404
-1.628 -3.573 1.965
-8.746 7.194 5.835
Cu Al Ag
4 6 2
direct
0.000 0.000 0.336
0.000 0.000 0.664
0.000 0.500 0.836
0.000 0.500 0.164
0.500 0.000 0.177
0.500 0.000 0.500
0.500 0.500 0.000
0.500 0.000 0.823
0.500 0.500 0.323
0.500 0.500 0.677
0.001 0.000 0.000
0.999 0.500 0.500
```

=====

AlCuAg: optimized geometry, PBE-GGA.

Output
ΔH_f (0 K)	0.1	eV per formula unit
space group	Cm (8)
spin magnetization	0.000	μB per cell

```
AlCuAg
1.0
4.160 0.001 -0.002
2.080 3.694 -0.043
0.003 2.402 6.454
Cu Al Ag
2 2 2
direct
0.586 0.999 0.283
0.013 0.143 0.558
0.297 0.577 0.415
0.880 0.411 0.164
0.157 0.857 0.000
0.424 0.323 0.803
```